NbSbTeI2, optimized geometry, DFT GGA-PBEsol; total moment = 1.51 μB per cell; N(E_F) = 5.644 states/eV/cell; calculated total energy = -4.122 eV per atom
1.0
5.4002 0.0000 0.0000
0.0000 5.4002 0.0000
0.0000 0.0000 5.4308
Nb Sb Te I
1 1 1 2
Cartesian
0.0000 0.0000 0.0000
2.7001 2.7001 2.7154
0.0000 0.0000 2.7154
0.0000 2.7001 0.0000
2.7001 0.0000 0.0000